Entry 1:
Entry from Alexandria: crystalline Be6FeRh5 at its relaxed geometry (PBE-GGA).

Values from the calculation:
Its crystal system is orthorhombic. The calculation puts the total energy at -6.20 eV per atom.

```
data_Be6FeRh5
_cell_length_a 3.911
_cell_length_b 5.592
_cell_length_c 11.725
_cell_angle_alpha 90.00
_cell_angle_beta 90.00
_cell_angle_gamma 90.00
_space_group_name_H-M_alt 'I m m m'
_space_group_IT_number 71
_space_group_name_Hall '-I 2 2'
loop_
_atom_site_label
_atom_site_fract_x
_atom_site_fract_y
_atom_site_fract_z
Be1 0.000 0.224 0.000
Be2 0.000 0.264 0.327
Fe1 0.000 0.000 0.500
Rh1 0.000 0.000 0.171
Rh2 0.000 0.500 0.152
Rh3 0.000 0.500 0.500
```


Entry 2:
Entry from Alexandria: crystalline MgSc2Ni at its relaxed geometry (PBE-GGA).

Values from the calculation:
Its crystal system is tetragonal. The calculation puts the total energy at -5.17 eV per atom.

```
data_MgSc2Ni
_cell_length_a 3.223
_cell_length_b 3.223
_cell_length_c 7.559
_cell_angle_alpha 90.00
_cell_angle_beta 90.00
_cell_angle_gamma 90.00
_space_group_name_H-M_alt 'P 4 m m'
_space_group_IT_number 99
loop_
_space_group_symop_operation_xyz
'x,y,z'
'-y,x,z'
'-x,-y,z'
'y,-x,z'
'-x,y,z'
'y,x,z'
'x,-y,z'
'-y,-x,z'
loop_
_atom_site_label
_atom_site_fract_x
_atom_site_fract_y
_atom_site_fract_z
Mg1 0.000 0.000 0.000
Sc1 0.000 0.000 0.393
Sc2 0.500 0.500 0.700
Ni1 0.500 0.500 0.205
```


Entry 3:
Entry from Alexandria: crystalline CaTl2AsSe at its relaxed geometry (PBE-GGA).

Values from the calculation:
Its crystal system is tetragonal. The calculation puts the total energy at -3.03 eV per atom.

```
data_CaTl2AsSe
_cell_length_a 5.694
_cell_length_b 5.694
_cell_length_c 5.411
_cell_angle_alpha 90.00
_cell_angle_beta 90.00
_cell_angle_gamma 90.00
_space_group_name_H-M_alt 'P 4/m m m'
_space_group_IT_number 123
_space_group_name_Hall '-P 4 2'
loop_
_atom_site_label
_atom_site_fract_x
_atom_site_fract_y
_atom_site_fract_z
Ca1 0.000 0.000 0.000
Tl1 0.000 0.500 0.500
As1 0.500 0.500 0.000
Se1 0.000 0.000 0.500
```


Entry 4:
Entry from Alexandria: crystalline HfV2Rh at its relaxed geometry (PBE-GGA).

Values from the calculation:
Its crystal system is tetragonal. The calculation puts the total energy at -8.68 eV per atom.

```
data_HfV2Rh
_cell_length_a 7.186
_cell_length_b 7.186
_cell_length_c 5.220
_cell_angle_alpha 90.00
_cell_angle_beta 90.00
_cell_angle_gamma 90.00
_space_group_name_H-M_alt 'I -4 2 d'
_space_group_IT_number 122
_space_group_name_Hall 'I -4 2bw'
loop_
_atom_site_label
_atom_site_fract_x
_atom_site_fract_y
_atom_site_fract_z
Hf1 0.000 0.000 0.000
V1 0.216 0.250 0.625
Rh1 0.000 0.000 0.500
```


Entry 5:
Entry from Alexandria: crystalline Ta6Nb2V at its relaxed geometry (PBE-GGA).

Values from the calculation:
The value obtained for the offset from the most stable computed form is 0 meV per atom. Its crystal system is triclinic.

```
data_Ta6Nb2V
_cell_length_a 2.840
_cell_length_b 7.183
_cell_length_c 8.247
_cell_angle_alpha 99.41
_cell_angle_beta 96.32
_cell_angle_gamma 99.14
_space_group_name_H-M_alt 'P -1'
_space_group_IT_number 2
loop_
_space_group_symop_operation_xyz
'x,y,z'
'-x,-y,-z'
loop_
_atom_site_label
_atom_site_fract_x
_atom_site_fract_y
_atom_site_fract_z
Ta1 0.026 0.174 0.283
Ta2 0.241 0.826 0.399
Ta3 0.327 0.499 0.823
Nb1 0.301 0.831 0.062
V1 0.500 0.500 0.500
```


Entry 6:
Entry from Alexandria: crystalline Sm3Ge2I2 at its relaxed geometry (PBE-GGA).

Values from the calculation:
Its crystal system is triclinic. The calculation puts the total energy at -4.66 eV per atom.

```
data_Sm3Ge2I2
_cell_length_a 4.197
_cell_length_b 7.388
_cell_length_c 7.992
_cell_angle_alpha 81.12
_cell_angle_beta 89.91
_cell_angle_gamma 73.69
_space_group_name_H-M_alt 'P -1'
_space_group_IT_number 2
loop_
_space_group_symop_operation_xyz
'x,y,z'
'-x,-y,-z'
loop_
_atom_site_label
_atom_site_fract_x
_atom_site_fract_y
_atom_site_fract_z
Sm1 0.000 0.000 0.000
Sm2 0.243 0.511 0.779
Ge1 0.376 0.250 0.104
I1 0.124 0.755 0.386
```


Entry 7:
Entry from Alexandria: crystalline SrBRh3 at its relaxed geometry (PBE-GGA).

Values from the calculation:
Its crystal system is hexagonal. The calculation puts the total energy at -6.35 eV per atom.

```
data_SrBRh3
_cell_length_a 6.0582
_cell_length_b 6.0582
_cell_length_c 10.1077
_cell_angle_alpha 90.00
_cell_angle_beta 90.00
_cell_angle_gamma 120.00
_space_group_name_H-M_alt 'P 63/m m c'
_space_group_IT_number 194
_space_group_name_Hall '-P 6c 2c'
loop_
_atom_site_label
_atom_site_fract_x
_atom_site_fract_y
_atom_site_fract_z
Sr1 0.0000 0.0000 0.0000
Sr2 0.3333 0.6667 0.2500
B1 0.3333 0.6667 0.6222
Rh1 0.0000 0.5000 0.0000
Rh2 0.1748 0.3496 0.7500
```


Entry 8:
Entry from Alexandria: crystalline Cs3Na4Tl2 at its relaxed geometry (PBE-GGA).

Values from the calculation:
The value obtained for the offset from the most stable computed form is 5 meV per atom. Its crystal system is monoclinic.

```
data_Cs3Na4Tl2
_cell_length_a 15.269
_cell_length_b 5.685
_cell_length_c 11.304
_cell_angle_alpha 90.00
_cell_angle_beta 110.27
_cell_angle_gamma 90.00
_space_group_name_H-M_alt 'C 1 2/m 1'
_space_group_IT_number 12
loop_
_space_group_symop_operation_xyz
'x,y,z'
'-x,-y,-z'
'-x,y,-z'
'x,-y,z'
'x+1/2,y+1/2,z'
'-x+1/2,-y+1/2,-z'
'-x+1/2,y+1/2,-z'
'x+1/2,-y+1/2,z'
loop_
_atom_site_label
_atom_site_fract_x
_atom_site_fract_y
_atom_site_fract_z
Cs1 0.000 0.000 0.000
Cs2 0.121 0.500 0.379
Na1 0.103 0.000 0.668
Na2 0.215 0.500 0.056
Tl1 0.219 0.500 0.768
```


Entry 9:
Entry from Alexandria: crystalline ZnMoW2 at its relaxed geometry (PBE-GGA).

Values from the calculation:
Its crystal system is cubic. The calculation puts the total energy at -9.18 eV per atom.

```
data_ZnMoW2
_cell_length_a 6.306
_cell_length_b 6.306
_cell_length_c 6.306
_cell_angle_alpha 90.00
_cell_angle_beta 90.00
_cell_angle_gamma 90.00
_space_group_name_H-M_alt 'F -4 3 m'
_space_group_IT_number 216
_space_group_name_Hall 'F -4 2 3'
loop_
_atom_site_label
_atom_site_fract_x
_atom_site_fract_y
_atom_site_fract_z
Zn1 0.000 0.000 0.000
Mo1 0.250 0.250 0.250
W1 0.000 0.000 0.500
W2 0.250 0.250 0.750
```


Entry 10:
Entry from Alexandria: crystalline Ca2Ga5Ni3 at its relaxed geometry (PBE-GGA).

Values from the calculation:
Its crystal system is orthorhombic. The calculation puts the total energy at -4.12 eV per atom.

```
data_Ca2Ga5Ni3
_cell_length_a 9.871
_cell_length_b 12.424
_cell_length_c 5.607
_cell_angle_alpha 90.00
_cell_angle_beta 90.00
_cell_angle_gamma 90.00
_space_group_name_H-M_alt 'I b a m'
_space_group_IT_number 72
_space_group_name_Hall '-I 2 2c'
loop_
_atom_site_label
_atom_site_fract_x
_atom_site_fract_y
_atom_site_fract_z
Ca1 0.224 0.146 0.000
Ga1 0.000 0.000 0.250
Ga2 0.000 0.292 0.250
Ga3 0.176 0.414 0.000
Ni1 0.000 0.500 0.250
Ni2 0.089 0.145 0.500
```


Entry 11:
Entry from Alexandria: crystalline Li3Ca2Tl at its relaxed geometry (PBE-GGA).

Values from the calculation:
The value obtained for the offset from the most stable computed form is 0 meV per atom. Its crystal system is monoclinic.

```
data_Li3Ca2Tl
_cell_length_a 10.289
_cell_length_b 5.993
_cell_length_c 6.160
_cell_angle_alpha 90.00
_cell_angle_beta 124.87
_cell_angle_gamma 90.00
_space_group_name_H-M_alt 'C 1 2/m 1'
_space_group_IT_number 12
loop_
_space_group_symop_operation_xyz
'x,y,z'
'-x,-y,-z'
'-x,y,-z'
'x,-y,z'
'x+1/2,y+1/2,z'
'-x+1/2,-y+1/2,-z'
'-x+1/2,y+1/2,-z'
'x+1/2,-y+1/2,z'
loop_
_atom_site_label
_atom_site_fract_x
_atom_site_fract_y
_atom_site_fract_z
Li1 0.000 0.000 0.000
Li2 0.250 0.250 0.000
Ca1 0.126 0.500 0.378
Tl1 0.000 0.000 0.500
```


Entry 12:
Entry from Alexandria: crystalline BeMoOs2Rh at its relaxed geometry (PBE-GGA).

Values from the calculation:
Its crystal system is tetragonal. The calculation puts the total energy at -7.10 eV per atom.

```
data_BeMoOs2Rh
_cell_length_a 4.695
_cell_length_b 4.695
_cell_length_c 3.854
_cell_angle_alpha 90.00
_cell_angle_beta 90.00
_cell_angle_gamma 90.00
_space_group_name_H-M_alt 'P 4/m m m'
_space_group_IT_number 123
_space_group_name_Hall '-P 4 2'
loop_
_atom_site_label
_atom_site_fract_x
_atom_site_fract_y
_atom_site_fract_z
Be1 0.000 0.000 0.000
Mo1 0.500 0.500 0.000
Os1 0.000 0.500 0.500
Rh1 0.000 0.000 0.500
```


| no. | mass density (g cm⁻³) | volume (Å³ per cell) |
| --- | --- | --- |
| 1 | 8.088 | 256.41 |
| 2 | 3.656 | 78.54 |
| 3 | 5.705 | 175.42 |
| 4 | 9.443 | 269.60 |
| 5 | 13.536 | 162.23 |
| 6 | 6.015 | 234.71 |
| 7 | 8.417 | 321.28 |
| 8 | 3.245 | 920.39 |
| 9 | 14.015 | 250.73 |
| 10 | 5.842 | 687.66 |
| 11 | 3.254 | 311.65 |
| 12 | 11.502 | 84.94 |